No. 1
The following is a GGA-PBE calculation of a relaxed structure of Tm5Bi4Te, from Alexandria.

POSCAR file:
```
Tm5Bi4Te
1.0
-4.9264 4.9264 3.1176
4.9264 -4.9264 3.1176
4.9264 4.9264 -3.1176
Tm Bi Te
5 4 1
direct
0.0000 0.0000 0.0000 Tm
0.1983 0.6006 0.7989 Tm
0.3994 0.1983 0.5977 Tm
0.6006 0.8017 0.4023 Tm
0.8017 0.3994 0.2011 Tm
0.1004 0.2990 0.3994 Bi
0.2990 0.8996 0.1986 Bi
0.7010 0.1004 0.8014 Bi
0.8996 0.7010 0.6006 Bi
0.5000 0.5000 0.0000 Te
```

Calculated values
As for the density: 9.9 g cm⁻³. The calculation puts the formation energy from raw total energies at -885 meV per atom. For the total energy, the calculation gives -49.87 eV per cell. For the density of states at the Fermi level, the calculation gives 0.251 states/eV per atom. Its crystal system is tetragonal.

No. 2
The following is a GGA-PBE calculation of a relaxed structure of Tm6BiTe5, from Alexandria.

POSCAR file:
```
Tm6BiTe5
1.0
3.7303 -6.4560 0.0000
3.7303 6.4560 0.0000
-2.4785 0.0000 7.1163
Tm Bi Te
6 1 5
direct
0.0807 0.4146 0.2455 Tm
0.2503 0.2503 0.7548 Tm
0.4146 0.0807 0.2455 Tm
0.5854 0.9193 0.7545 Tm
0.7497 0.7497 0.2452 Tm
0.9193 0.5854 0.7545 Tm
0.5000 0.5000 0.5000 Bi
0.0000 0.0000 0.0000 Te
0.1669 0.8331 0.5000 Te
0.3340 0.6660 0.0000 Te
0.6660 0.3340 0.0000 Te
0.8331 0.1669 0.5000 Te
```

Calculated values
As for the density: 9.0 g cm⁻³. The calculation puts the formation energy from raw total energies at -1111 meV per atom. For the total energy, the calculation gives -59.75 eV per cell. For the density of states at the Fermi level, the calculation gives 0.560 states/eV per atom. Its crystal system is monoclinic.

No. 3
The following is a GGA-PBE calculation of a relaxed structure of Tm4BiTe2, from Alexandria.

POSCAR file:
```
Tm4BiTe2
1.0
-4.7645 4.7645 4.6540
4.7645 -4.7645 4.6540
4.7645 4.7645 -4.6540
Tm Bi Te
8 2 4
direct
0.0022 0.7530 0.6279 Tm
0.1243 0.2522 0.7492 Tm
0.1251 0.3743 0.3721 Tm
0.2470 0.9978 0.3721 Tm
0.5030 0.3751 0.2508 Tm
0.6249 0.4970 0.7492 Tm
0.6257 0.8749 0.6279 Tm
0.7478 0.8757 0.2508 Tm
0.0000 0.0000 0.0000 Bi
0.7500 0.2500 0.5000 Bi
0.3192 0.6250 0.1942 Te
0.3750 0.6808 0.8058 Te
0.4308 0.1250 0.8058 Te
0.8750 0.5692 0.1942 Te
```

Calculated values
As for the density: 9.0 g cm⁻³. The calculation puts the formation energy from raw total energies at -812 meV per atom. For the total energy, the calculation gives -67.47 eV per cell. For the density of states at the Fermi level, the calculation gives 0.742 states/eV per atom. Its crystal system is tetragonal.

No. 4
The following is a GGA-PBE calculation of a relaxed structure of TmBiTe, from Alexandria.

POSCAR file:
```
TmBiTe
1.0
-2.1856 2.1856 9.3095
2.1856 -2.1856 9.3095
2.1856 2.1856 -9.3095
Tm Bi Te
2 2 2
direct
0.1442 0.1442 0.0000 Tm
0.8558 0.8558 0.0000 Tm
0.0000 0.5000 0.5000 Bi
0.5000 0.0000 0.5000 Bi
0.3117 0.3117 0.0000 Te
0.6883 0.6883 0.0000 Te
```

Calculated values
As for the density: 9.4 g cm⁻³. The calculation puts the formation energy from raw total energies at -891 meV per atom. For the total energy, the calculation gives -28.34 eV per cell. For the density of states at the Fermi level, the calculation gives 0.408 states/eV per atom. Its crystal system is tetragonal.

No. 5
The following is a GGA-PBE calculation of a relaxed structure of TmBiTe, from Alexandria.

POSCAR file:
```
TmBiTe
1.0
12.6180 0.0000 0.0000
0.0000 2.0935 3.7672
0.0000 -2.0935 3.7672
Tm Bi Te
2 2 2
direct
0.1568 0.0000 0.0000 Tm
0.8432 0.0000 0.0000 Tm
0.0000 0.6696 0.6696 Bi
0.5000 0.8898 0.8898 Bi
0.2992 0.6733 0.6733 Te
0.7008 0.6733 0.6733 Te
```

Calculated values
As for the density: 8.4 g cm⁻³. The calculation puts the formation energy from raw total energies at -593 meV per atom. For the total energy, the calculation gives -26.55 eV per cell. For the density of states at the Fermi level, the calculation gives 0.359 states/eV per atom. Its crystal system is orthorhombic.

No. 6
The following is a GGA-PBE calculation of a relaxed structure of Tm5Bi2Te5, from Alexandria.

POSCAR file:
```
Tm5Bi2Te5
1.0
7.2049 -2.0467 0.0000
7.2049 2.0467 0.0000
-2.9281 0.0000 12.9989
Tm Bi Te
5 2 5
direct
0.0000 0.0000 0.0000 Tm
0.1188 0.1188 0.4237 Tm
0.2947 0.2947 0.1815 Tm
0.7053 0.7053 0.8185 Tm
0.8812 0.8812 0.5763 Tm
0.0304 0.0304 0.7793 Bi
0.9696 0.9696 0.2207 Bi
0.2532 0.2532 0.6460 Te
0.3404 0.3404 0.9543 Te
0.5000 0.5000 0.5000 Te
0.6596 0.6596 0.0457 Te
0.7468 0.7468 0.3540 Te
```

Calculated values
As for the density: 8.2 g cm⁻³. The calculation puts the formation energy from raw total energies at -1023 meV per atom. For the total energy, the calculation gives -58.11 eV per cell. For the density of states at the Fermi level, the calculation gives 0.337 states/eV per atom. Its crystal system is monoclinic.

No. 7
The following is a GGA-PBE calculation of a relaxed structure of Tm2Bi2Te, from Alexandria.

POSCAR file:
```
Tm2Bi2Te
1.0
6.3290 0.0000 0.0000
0.0000 5.1557 0.0000
-1.3686 0.0000 10.1014
Tm Bi Te
4 4 2
direct
0.1396 0.2500 0.1753 Tm
0.2455 0.2500 0.5804 Tm
0.7545 0.7500 0.4196 Tm
0.8604 0.7500 0.8247 Tm
0.2453 0.7500 0.3987 Bi
0.3293 0.7500 0.7485 Bi
0.6707 0.2500 0.2515 Bi
0.7547 0.2500 0.6013 Bi
0.2473 0.7500 0.0443 Te
0.7527 0.2500 0.9557 Te
```

Calculated values
As for the density: 8.9 g cm⁻³. The calculation puts the formation energy from raw total energies at -656 meV per atom. For the total energy, the calculation gives -46.26 eV per cell. For the density of states at the Fermi level, the calculation gives 0.015 states/eV per atom. Its crystal system is monoclinic.

No. 8
The following is a GGA-PBE calculation of a relaxed structure of YTmBiTe, from Alexandria.

POSCAR file:
```
YTmBiTe
1.0
4.3976 0.0000 0.0000
0.0000 4.3976 0.0000
0.0000 0.0000 6.2130
Y Tm Bi Te
1 1 1 1
direct
0.0000 0.0000 0.0000 Y
0.5000 0.5000 0.4983 Tm
0.5000 0.5000 0.9984 Bi
0.0000 0.0000 0.4997 Te
```

Calculated values
As for the density: 8.2 g cm⁻³. The calculation puts the formation energy from raw total energies at -1057 meV per atom. For the total energy, the calculation gives -22.19 eV per cell. For the density of states at the Fermi level, the calculation gives 0.383 states/eV per atom. Its crystal system is tetragonal.